Entry 1:
! ErUCo | Alexandria | PBE | relaxed; values from VASP
! Total magnetization = 0.423 μB per atom
! Fermi-level density of states = 11.84 states/eV/cell
! DFT formation energy = -0.161 eV per atom
! Symmetry = No. 11
&SYSTEM
  ibrav = 0, nat = 6, ntyp = 3
/
ATOMIC_SPECIES
Er 167.26 Er.upf
U 238.03 U.upf
Co 58.93 Co.upf
ATOMIC_POSITIONS crystal
Er 0.2292 0.2500 0.4320
Er 0.7708 0.7500 0.5680
U 0.3474 0.7500 0.9721
U 0.6526 0.2500 0.0279
Co 0.0836 0.2500 0.8880
Co 0.9164 0.7500 0.1120
CELL_PARAMETERS angstrom
5.4688 0.0000 0.0000
0.0000 4.2466 0.0000
-1.2831 0.0000 5.4014


Entry 2:
! PmB2H6 | Alexandria | PBE | relaxed; values from VASP
! Total magnetization = 0.000 μB per atom
! Fermi-level density of states = 2.50 states/eV/cell
! Excess energy over the best structure of this formula in the dataset = 0 meV/atom
! Symmetry = No. 160
&SYSTEM
  ibrav = 0, nat = 9, ntyp = 3
/
ATOMIC_SPECIES
Pm 145.00 Pm.upf
B 10.81 B.upf
H 1.01 H.upf
ATOMIC_POSITIONS crystal
Pm 0.0000 0.0000 0.0000
B 0.6281 0.6281 0.6281
B 0.7499 0.7499 0.7499
H 0.4471 0.4471 0.8860
H 0.4471 0.8860 0.4471
H 0.4981 0.9318 0.9318
H 0.8860 0.4471 0.4471
H 0.9318 0.4981 0.9318
H 0.9318 0.9318 0.4981
CELL_PARAMETERS angstrom
2.2452 1.2963 4.8682
-2.2452 1.2963 4.8682
0.0000 -2.5925 4.8682


Entry 3:
! CuAu3Br | Alexandria | PBE | relaxed; values from VASP
! Total magnetization = 0.000 μB per atom
! Fermi-level density of states = 3.30 states/eV/cell
! Formation energy without anion corrections = 0.60 eV/atom
! Excess energy over the best structure of this formula in the dataset = 0 meV/atom
! Symmetry = No. 221
&SYSTEM
  ibrav = 0, nat = 5, ntyp = 3
/
ATOMIC_SPECIES
Cu 63.55 Cu.upf
Au 196.97 Au.upf
Br 79.90 Br.upf
ATOMIC_POSITIONS crystal
Cu 0.0000 0.0000 0.0000
Au 0.0000 0.0000 0.5000
Au 0.0000 0.5000 0.0000
Au 0.5000 0.0000 0.0000
Br 0.5000 0.5000 0.5000
CELL_PARAMETERS angstrom
4.8641 0.0000 0.0000
0.0000 4.8641 0.0000
0.0000 0.0000 4.8641


Entry 4:
! ZnAgAs2 | Alexandria | PBE | relaxed; values from VASP
! Total magnetization = 0.000 μB per atom
! Fermi-level density of states = 0.97 states/eV/cell
! DFT formation energy = 0.141 eV per atom
! Symmetry = No. 6
&SYSTEM
  ibrav = 0, nat = 4, ntyp = 3
/
ATOMIC_SPECIES
Zn 65.41 Zn.upf
Ag 107.87 Ag.upf
As 74.92 As.upf
ATOMIC_POSITIONS crystal
Zn 0.0000 0.0000 0.0000
Ag 0.5314 0.5000 0.2083
As 0.0219 0.0000 0.4323
As 0.1190 0.5000 0.7708
CELL_PARAMETERS angstrom
2.7963 0.0000 0.0000
0.0000 4.1725 0.0000
-0.8890 0.0000 6.5198


Entry 5:
! NiAgMo2 | Alexandria | PBE | relaxed; values from VASP
! Total magnetization = 0.000 μB per atom
! Fermi-level density of states = 3.25 states/eV/cell
! DFT formation energy = 0.361 eV per atom
! Excess energy over the best structure of this formula in the dataset = 160 meV/atom
! Symmetry = No. 8
&SYSTEM
  ibrav = 0, nat = 4, ntyp = 3
/
ATOMIC_SPECIES
Ni 58.69 Ni.upf
Ag 107.87 Ag.upf
Mo 95.94 Mo.upf
ATOMIC_POSITIONS crystal
Ni 0.0000 0.0000 0.0000
Ag 0.7503 0.7503 0.2385
Mo 0.2691 0.2691 0.7584
Mo 0.5056 0.5056 0.5095
CELL_PARAMETERS angstrom
4.5511 -1.3329 0.0000
4.5511 1.3329 0.0000
-0.6982 0.0000 4.9726


Entry 6:
! BeSnP2 | Alexandria | PBE | relaxed; values from VASP
! Total magnetization = 0.000 μB per atom
! Fermi-level density of states = 2.02 states/eV/cell
! DFT formation energy = 0.678 eV per atom
! Excess energy over the best structure of this formula in the dataset = 903 meV/atom
! Symmetry = No. 225
&SYSTEM
  ibrav = 0, nat = 4, ntyp = 3
/
ATOMIC_SPECIES
Be 9.01 Be.upf
Sn 118.71 Sn.upf
P 30.97 P.upf
ATOMIC_POSITIONS crystal
Be 0.0000 0.0000 0.0000
Sn 0.5000 0.5000 0.5000
P 0.2500 0.2500 0.2500
P 0.7500 0.7500 0.7500
CELL_PARAMETERS angstrom
0.0000 3.2233 3.2233
3.2233 0.0000 3.2233
3.2233 3.2233 0.0000


Entry 7:
! LiHfTl2O6 | Alexandria | PBE | relaxed; values from VASP
! Total magnetization = 0.108 μB per atom
! Fermi-level density of states = 6.63 states/eV/cell
! Formation energy without anion corrections = -1.52 eV/atom
! Symmetry = No. 146
&SYSTEM
  ibrav = 0, nat = 10, ntyp = 4
/
ATOMIC_SPECIES
Li 6.94 Li.upf
Hf 178.49 Hf.upf
Tl 204.38 Tl.upf
O 16.00 O.upf
ATOMIC_POSITIONS crystal
Li 0.0000 0.0000 0.0000
Hf 0.4972 0.4972 0.4972
Tl 0.2828 0.2828 0.2828
Tl 0.7825 0.7825 0.7825
O 0.1246 0.6947 0.3772
O 0.2172 0.5968 0.8629
O 0.3772 0.1246 0.6947
O 0.5968 0.8629 0.2172
O 0.6947 0.3772 0.1246
O 0.8629 0.2172 0.5968
CELL_PARAMETERS angstrom
2.7916 1.6118 5.0214
-2.7916 1.6118 5.0214
0.0000 -3.2235 5.0214


Entry 8:
! TcNi2SnN | Alexandria | PBE | relaxed; values from VASP
! Total magnetization = 0.001 μB per atom
! Fermi-level density of states = 4.32 states/eV/cell
! Formation energy without anion corrections = 0.05 eV/atom
! Excess energy over the best structure of this formula in the dataset = 0 meV/atom
! Symmetry = No. 123
&SYSTEM
  ibrav = 0, nat = 5, ntyp = 4
/
ATOMIC_SPECIES
Tc 98.00 Tc.upf
Ni 58.69 Ni.upf
Sn 118.71 Sn.upf
N 14.01 N.upf
ATOMIC_POSITIONS crystal
Tc 0.0000 0.0000 0.0000
Ni 0.0000 0.5000 0.5000
Ni 0.5000 0.0000 0.5000
Sn 0.5000 0.5000 0.0000
N 0.0000 0.0000 0.5000
CELL_PARAMETERS angstrom
3.9702 0.0000 0.0000
0.0000 3.9702 0.0000
0.0000 0.0000 4.0326


Entry 9:
! FeTe | Alexandria | PBE | relaxed; values from VASP
! Total magnetization = 1.046 μB per atom
! Fermi-level density of states = 6.26 states/eV/cell
! Formation energy without anion corrections = 0.36 eV/atom
! Symmetry = No. 194
&SYSTEM
  ibrav = 0, nat = 8, ntyp = 2
/
ATOMIC_SPECIES
Fe 55.84 Fe.upf
Te 127.60 Te.upf
ATOMIC_POSITIONS crystal
Fe 0.3333 0.6667 0.1756
Fe 0.3333 0.6667 0.3244
Fe 0.6667 0.3333 0.6756
Fe 0.6667 0.3333 0.8244
Te 0.3333 0.6667 0.6218
Te 0.3333 0.6667 0.8782
Te 0.6667 0.3333 0.1218
Te 0.6667 0.3333 0.3782
CELL_PARAMETERS angstrom
4.1927 0.0000 0.0000
-2.0964 3.6310 0.0000
0.0000 0.0000 13.9641


Entry 10:
! KNaTe2As | Alexandria | PBE | relaxed; values from VASP
! Total magnetization = 0.000 μB per atom
! Fermi-level density of states = 2.05 states/eV/cell
! Formation energy without anion corrections = -0.40 eV/atom
! Symmetry = No. 67
&SYSTEM
  ibrav = 0, nat = 10, ntyp = 4
/
ATOMIC_SPECIES
K 39.10 K.upf
Na 22.99 Na.upf
Te 127.60 Te.upf
As 74.92 As.upf
ATOMIC_POSITIONS crystal
K 0.2500 0.7500 0.7623
K 0.7500 0.2500 0.2377
Na 0.2500 0.2500 0.5000
Na 0.7500 0.7500 0.5000
Te 0.1478 0.8522 0.2543
Te 0.3522 0.6478 0.2543
Te 0.6478 0.3522 0.7457
Te 0.8522 0.1478 0.7457
As 0.0000 0.0000 0.0000
As 0.5000 0.5000 0.0000
CELL_PARAMETERS angstrom
3.2418 -7.4679 0.0000
3.2418 7.4679 0.0000
0.0000 0.0000 6.6399


Entry 11:
! InCo2Pt2 | Alexandria | PBE | relaxed; values from VASP
! Total magnetization = 0.875 μB per atom
! Fermi-level density of states = 14.66 states/eV/cell
! DFT formation energy = 0.000 eV per atom
! Excess energy over the best structure of this formula in the dataset = 0 meV/atom
! Symmetry = No. 127
&SYSTEM
  ibrav = 0, nat = 10, ntyp = 3
/
ATOMIC_SPECIES
In 114.82 In.upf
Co 58.93 Co.upf
Pt 195.08 Pt.upf
ATOMIC_POSITIONS crystal
In 0.0000 0.0000 0.0000
In 0.5000 0.5000 0.0000
Co 0.1145 0.3855 0.0000
Co 0.3855 0.8855 0.0000
Co 0.6145 0.1145 0.0000
Co 0.8855 0.6145 0.0000
Pt 0.1782 0.6782 0.5000
Pt 0.3218 0.1782 0.5000
Pt 0.6782 0.8218 0.5000
Pt 0.8218 0.3218 0.5000
CELL_PARAMETERS angstrom
7.3771 0.0000 0.0000
0.0000 7.3771 0.0000
0.0000 0.0000 2.8125


Entry 12:
! Tb3Nd2ThSe6 | Alexandria | PBE | relaxed; values from VASP
! Total magnetization = 0.000 μB per atom
! Fermi-level density of states = 6.38 states/eV/cell
! Formation energy without anion corrections = -1.75 eV/atom
! Symmetry = No. 12
&SYSTEM
  ibrav = 0, nat = 12, ntyp = 4
/
ATOMIC_SPECIES
Tb 158.93 Tb.upf
Nd 144.24 Nd.upf
Th 232.04 Th.upf
Se 78.96 Se.upf
ATOMIC_POSITIONS crystal
Tb 0.0000 0.0000 0.0000
Tb 0.3334 0.3334 0.6656
Tb 0.6666 0.6666 0.3344
Nd 0.3359 0.3359 0.1714
Nd 0.6641 0.6641 0.8286
Th 0.0000 0.0000 0.5000
Se 0.1653 0.1653 0.0899
Se 0.1698 0.1698 0.5757
Se 0.4961 0.4961 0.7571
Se 0.5039 0.5039 0.2429
Se 0.8302 0.8302 0.4243
Se 0.8347 0.8347 0.9101
CELL_PARAMETERS angstrom
9.1166 -2.0667 0.0000
9.1166 2.0667 0.0000
-2.1242 0.0000 8.1025